No. 1
# TaPtI2N

Crystalline TaPtI2N at its relaxed geometry (PBE, the Alexandria database).

```
5
Lattice="5.594 0.000 0.000 0.000 5.594 0.000 0.000 0.000 3.863" Properties=species:S:1:pos:R:3 pbc="T T T"
I 0.000 2.797 0.000
I 2.797 0.000 0.000
N 0.000 0.000 1.931
Pt 2.797 2.797 1.931
Ta 0.000 0.000 0.000
```

Summary:
energy	-5.26	eV/atom
energy relative to the lowest polymorph listed for this composition	0.00	kJ/mol of atoms
crystal system	tetragonal

---

No. 2
# TiPtI2N

Crystalline TiPtI2N at its relaxed geometry (PBE, the Alexandria database).

```
5
Lattice="-2.270 4.354 -3.008 -0.255 -3.359 -4.670 -3.415 -1.104 0.980" Properties=species:S:1:pos:R:3 pbc="T T T"
I -0.127 -1.680 -2.335
I -1.135 2.177 -1.504
N -1.707 -0.552 0.490
Pt 0.000 0.000 0.000
Ti -2.970 -0.054 -3.349
```

Summary:
energy	-4.47	eV/atom
energy relative to the lowest polymorph listed for this composition	22.43	kJ/mol of atoms
crystal system	tetragonal

---

No. 3
# TiPtI2N

Crystalline TiPtI2N at its relaxed geometry (PBE, the Alexandria database).

```
5
Lattice="-0.712 5.100 2.156 -3.879 1.091 -3.863 -2.607 -1.314 2.247" Properties=species:S:1:pos:R:3 pbc="T T T"
I -1.940 0.546 -1.931
I -0.356 2.550 1.078
N -1.304 -0.657 1.124
Pt -3.599 2.438 0.270
Ti 0.000 0.000 0.000
```

Summary:
energy	-4.70	eV/atom
energy relative to the lowest polymorph listed for this composition	0.00	kJ/mol of atoms
crystal system	tetragonal

---

No. 4
# PtWI2N

Crystalline PtWI2N at its relaxed geometry (PBE, the Alexandria database).

```
5
Lattice="-3.446 3.506 -2.932 -0.772 -4.065 -3.955 -2.893 -1.275 1.876" Properties=species:S:1:pos:R:3 pbc="T T T"
I -0.386 -2.033 -1.977
I -1.723 1.753 -1.466
W -3.555 -0.918 -2.505
Pt 0.000 0.000 0.000
N -1.447 -0.638 0.938
```

Summary:
energy	-4.63	eV/atom
energy relative to the lowest polymorph listed for this composition	60.33	kJ/mol of atoms
crystal system	tetragonal

---

no.,uncorrected formation energy (eV per atom),mass density (g/cm3)
1,0.606,8.84
2,0.600,6.88
3,0.367,7.39
4,1.455,8.92